Entry one
NaCdBr2 | PBE | optimized geometry

Structure (POSCAR):
```
NaCdBr2
1.0
4.649 6.656 4.234
3.734 3.968 7.359
7.055 3.242 4.854
Na Br Cd
1 2 1
direct
0.500 0.500 0.500
0.897 0.897 0.897
0.103 0.103 0.103
0.000 0.000 0.000
```

Summary:
The calculation puts the density of states at the Fermi level at 1.3 states/eV/cell. The value obtained for the spin magnetization is 0.00 μB per cell.

***

Entry two
NaCdBr2 | PBE | optimized geometry

Structure (POSCAR):
```
NaCdBr2
1.0
6.489 0.000 0.000
0.000 6.489 0.000
3.245 3.245 7.292
Na Br Cd
2 4 2
direct
0.500 0.500 0.000
0.250 0.750 0.500
0.624 0.125 0.250
0.126 0.625 0.250
0.375 0.376 0.750
0.875 0.874 0.750
0.000 0.000 0.000
0.750 0.250 0.500
```

Summary:
The calculation puts the density of states at the Fermi level at 0.7 states/eV/cell. The value obtained for the spin magnetization is 0.00 μB per cell.

***

Entry three
NaCdBr2 | PBE | optimized geometry

Structure (POSCAR):
```
NaCdBr2
1.0
-1.514 -0.375 -4.564
-1.524 -6.222 1.017
-5.655 6.363 3.901
Na Cd Br
2 2 4
direct
0.542 0.919 0.571
0.042 0.419 0.571
0.042 0.919 0.071
0.042 0.419 0.071
0.156 0.924 0.783
0.929 0.914 0.359
0.444 0.414 0.359
0.641 0.424 0.783
```

Summary:
The calculation puts the density of states at the Fermi level at 4.9 states/eV/cell. The value obtained for the spin magnetization is 0.00 μB per cell.

***

Entry four
NaCdBr2 | PBE | optimized geometry

Structure (POSCAR):
```
NaCdBr2
1.0
1.409 2.733 4.380
-2.958 4.151 1.630
-2.935 -0.392 4.458
Na Br Cd
1 2 1
direct
0.000 0.000 0.000
0.250 0.250 0.250
0.750 0.750 0.750
0.500 0.500 0.500
```

Summary:
The calculation puts the density of states at the Fermi level at 3.3 states/eV/cell. The value obtained for the spin magnetization is 0.00 μB per cell.

***

Which of them is the least stable? Correct choice: entry four.